A plane-wave DFT calculation with PBE-GGA was carried out for an optimized crystal structure of Pa2CdCo.

Its space group is No. 166. The calculation puts the formation energy at 215 meV per atom.

Cell lengths 10.4203, 10.4203, 10.4203 Å; angles 18.47, 18.47, 18.47 degrees
Closest atoms and distances in Å follow each position.
Fractional positions:
1 Pa 0.1090 0.1090 0.1090  3 Co 2.62
2 Pa 0.8910 0.8910 0.8910  3 Co 2.62
3 Cd 0.0000 0.0000 0.0000  6 Cd 3.34, 2 Pa 3.35
4 Co 0.5000 0.5000 0.5000  6 Pa 2.62